1.
Below is a relaxed Pd2AuBr6 crystal, with properties calculated at the PBE level.

```
18
Lattice="5.810 -6.556 0.000 5.810 6.556 0.000 -0.894 0.000 7.991" Properties=species:S:1:pos:R:3 pbc="T T T"
Pd 2.681 0.000 1.988
Pd 2.233 0.000 5.984
Pd 8.492 0.000 2.007
Pd 8.045 0.000 6.003
Au 5.139 3.282 5.993
Au 5.586 -3.282 1.998
Br 3.774 5.089 7.279
Br 2.462 1.429 3.986
Br 6.504 5.089 4.708
Br 3.763 1.473 7.264
Br 2.015 -1.429 7.981
Br 6.516 1.473 4.723
Br 4.210 -1.473 3.268
Br 8.711 1.429 0.010
Br 6.963 -1.473 0.727
Br 4.221 -5.089 3.283
Br 8.264 -1.429 4.005
Br 6.952 -5.089 0.713
```

Calculated values
Mass density: 4851 kg/m³
Symmetry: C2/c
D(E_F): 5.58 states/eV/f.u.
Size of the total moment: 0.0 μB per formula unit
VASP energy: -2.83 eV per atom
Uncorrected formation energy: -0.20 eV/atom

=====

2.
Below is a relaxed PuMgAsO6 crystal, with properties calculated at the PBE level.

```
18
Lattice="5.268 0.000 0.000 -2.634 4.562 0.000 0.000 0.000 8.991" Properties=species:S:1:pos:R:3 pbc="T T T"
Pu 0.000 3.041 2.248
Pu 2.634 1.521 6.743
Mg 0.000 0.000 0.000
Mg 0.000 0.000 4.496
As 0.000 3.041 6.743
As 2.634 1.521 2.248
O -0.766 1.678 5.695
O -1.564 3.060 7.792
O 0.766 1.678 7.792
O -0.798 4.386 5.695
O 1.836 0.176 1.200
O 1.070 1.503 3.296
O 1.564 3.060 5.695
O 0.798 4.386 7.792
O 3.432 0.176 3.296
O 1.868 2.884 1.200
O 4.198 1.503 1.200
O 3.400 2.884 3.296
```

Calculated values
Mass density: 6750 kg/m³
Symmetry: P-31c
D(E_F): 7.10 states/eV/f.u.
Size of the total moment: 3.0 μB per formula unit
VASP energy: -7.61 eV per atom
Uncorrected formation energy: -2.02 eV/atom

=====

3.
Below is a relaxed HfTh14Sc crystal, with properties calculated at the PBE level.

```
16
Lattice="11.425 0.000 0.000 0.000 3.557 6.149 0.000 -3.557 6.149" Properties=species:S:1:pos:R:3 pbc="T T T"
Hf 0.000 0.000 0.000
Th 0.000 -1.775 3.207
Th 0.000 1.775 3.207
Th 2.768 -1.787 7.241
Th 2.768 1.787 7.241
Th 2.834 0.000 10.348
Th 2.847 0.000 4.200
Th 5.713 0.000 2.108
Th 5.713 -1.774 5.203
Th 5.713 0.000 8.256
Th 5.713 1.774 5.203
Th 8.578 0.000 4.200
Th 8.592 0.000 10.348
Th 8.657 -1.787 7.241
Th 8.657 1.787 7.241
Sc 0.000 0.000 6.194
```

Calculated values
Mass density: 11536 kg/m³
Symmetry: Amm2
D(E_F): 23.19 states/eV/f.u.
Size of the total moment: 0.0 μB per formula unit
VASP energy: -7.44 eV per atom
Formation energy: 0.066 eV per atom

=====

4.
Below is a relaxed PrSb3Rh crystal, with properties calculated at the PBE level.

```
20
Lattice="13.028 0.000 0.000 0.000 6.254 0.000 0.000 0.000 6.142" Properties=species:S:1:pos:R:3 pbc="T T T"
Pr 2.526 6.252 1.535
Pr 2.526 3.129 4.606
Pr 10.502 0.002 4.606
Pr 10.502 3.125 1.535
Sb 0.026 1.563 0.000
Sb 0.026 1.563 3.071
Sb 3.644 3.176 1.535
Sb 3.644 6.205 4.606
Sb 5.737 3.779 4.606
Sb 5.737 5.601 1.535
Sb 7.291 0.652 4.606
Sb 7.291 2.474 1.535
Sb 9.384 0.049 1.535
Sb 9.384 3.078 4.606
Sb 13.002 4.690 0.000
Sb 13.002 4.690 3.071
Rh 5.272 1.563 0.000
Rh 5.272 1.563 3.071
Rh 7.756 4.690 0.000
Rh 7.756 4.690 3.071
```

Calculated values
Mass density: 8085 kg/m³
Symmetry: Pbcm
D(E_F): 2.70 states/eV/f.u.
Size of the total moment: 0.0 μB per formula unit
VASP energy: -5.60 eV per atom
Uncorrected formation energy: -0.70 eV/atom